(1)
A plane-wave DFT calculation with GGA-PBE was carried out for a relaxed structure of La2YNi.

- Density of states at the Fermi level: 7.2 states/eV per cell

a b c (Å): 8.592 8.592 6.877
angles (deg): 51.34 51.34 90.00
Atoms (fractional coordinates):
La  0.875  0.800  0.750
Y  0.750  0.250  0.500
Y  0.000  0.000  0.000
La  0.200  0.625  0.250
La  0.375  0.450  0.750
La  0.550  0.125  0.250
Ni  0.500  0.500  0.000
Ni  0.250  0.750  0.500



(2)
A plane-wave DFT calculation with GGA-PBE was carried out for a relaxed structure of La2YNi.

- Density of states at the Fermi level: 19.5 states/eV per cell

a b c (Å): 6.425 7.088 10.233
angles (deg): 90.00 90.00 90.00
Atoms (fractional coordinates):
Y  0.660  0.536  0.250
La  0.175  0.675  0.069
Y  0.160  0.964  0.750
Ni  0.932  0.618  0.750
Y  0.840  0.036  0.250
Ni  0.068  0.382  0.250
La  0.325  0.175  0.431
La  0.325  0.175  0.069
Ni  0.568  0.118  0.750
La  0.675  0.825  0.931
La  0.825  0.325  0.931
La  0.675  0.825  0.569
Ni  0.432  0.882  0.250
La  0.825  0.325  0.569
La  0.175  0.675  0.431
Y  0.340  0.464  0.750



(2) is the most stable structure; the next one sits 188 meV per atom above it.



(1)
A plane-wave DFT calculation with GGA-PBE was carried out for a relaxed structure of La2YNi.

- Density of states at the Fermi level: 4.9 states/eV per cell

a b c (Å): 3.531 3.531 9.181
angles (deg): 90.00 90.00 89.96
Atoms (fractional coordinates):
Y  0.500  0.500  0.678
Ni  0.000  0.000  0.511
La  0.000  0.000  0.990
La  0.500  0.500  0.320



(2)
A plane-wave DFT calculation with GGA-PBE was carried out for a relaxed structure of La2YNi.

- Density of states at the Fermi level: 6.8 states/eV per cell

a b c (Å): 3.622 3.622 8.845
angles (deg): 90.00 90.00 89.97
Site moments in Bohr magnetons follow the coordinates.
Atoms (fractional coordinates):
La  0.000  0.000  0.440  0.07
La  0.000  0.000  0.060  0.07
Y  0.500  0.500  0.750  0.24
Ni  0.500  0.500  0.250  0.07



(1) is the most stable structure; the next one sits 61 meV per atom above it.



(1)
A plane-wave DFT calculation with GGA-PBE was carried out for a relaxed structure of LaY2Ni2.

- Density of states at the Fermi level: 10.1 states/eV per cell

a b c (Å): 5.838 6.548 7.215
angles (deg): 99.12 90.00 116.47
Atoms (fractional coordinates):
Y  0.769  0.330  0.656
Ni  0.285  0.338  0.519
La  0.911  0.000  0.250
Ni  0.053  0.338  0.019
Ni  0.715  0.662  0.481
Y  0.439  0.670  0.844
Ni  0.947  0.662  0.981
La  0.089  0.000  0.750
Y  0.561  0.330  0.156
Y  0.231  0.670  0.344



(2)
A plane-wave DFT calculation with GGA-PBE was carried out for a relaxed structure of LaY2Ni2.

- Density of states at the Fermi level: 7.3 states/eV per cell

a b c (Å): 4.999 4.999 6.283
angles (deg): 66.56 66.56 90.00
Atoms (fractional coordinates):
Y  0.335  0.335  0.330
Ni  0.250  0.750  0.500
Y  0.665  0.665  0.670
La  0.000  0.000  0.000
Ni  0.750  0.250  0.500



(1) is the most stable structure; the next one sits 282 meV per atom above it.